1.
The following is a PBE-GGA calculation of a relaxed structure of Nd6InIr2, from Alexandria via LeMat-Bulk.

Unit cell a=5.0123 b=5.9935 c=9.5314 alpha=77.78 beta=90.00 gamma=114.72
Fractional coordinates of all 9 atoms:
Nd  0.0295  0.0590  0.1513
Nd  0.3350  0.6700  0.3885
Nd  0.7092  0.4185  0.1659
Nd  0.9705  0.9410  0.8487
Ir  0.3771  0.7542  0.0939
Nd  0.6650  0.3300  0.6115
In  0.0000  0.0000  0.5000
Ir  0.6229  0.2458  0.9061
Nd  0.2908  0.5815  0.8341

Computed properties:
The calculation puts the density of states at the Fermi level at 0.671 states/eV/atom. As for the energy above the lowest structure with this stoichiometry: 78 meV/atom. As for the formation energy: -0.416 eV per atom. As for the space group: C2/m (12).

=====

2.
The following is a PBE-GGA calculation of a relaxed structure of NdInIr, from Alexandria via LeMat-Bulk.

Unit cell a=3.8163 b=4.6515 c=4.6515 alpha=120.00 beta=90.00 gamma=90.00
Fractional coordinates of all 3 atoms:
In  0.1661  0.3333  0.6667
Nd  0.6660  0.6667  0.3333
Ir  0.1680  0.0000  0.0000

Computed properties:
The calculation puts the density of states at the Fermi level at 1.114 states/eV/atom. As for the formation energy: -0.408 eV per atom. As for the space group: P3m1 (156).

=====

3.
The following is a PBE-GGA calculation of a relaxed structure of NdIn2Ir, from Alexandria via LeMat-Bulk.

Unit cell a=3.3125 b=3.3125 c=10.7207 alpha=81.11 beta=81.11 gamma=60.00
Fractional coordinates of all 4 atoms:
In  0.1029  0.1029  0.6914
In  0.8971  0.8971  0.3086
Ir  0.5000  0.5000  0.5000
Nd  0.0000  0.0000  0.0000

Computed properties:
The calculation puts the density of states at the Fermi level at 1.027 states/eV/atom. As for the formation energy: 0.232 eV per atom. As for the space group: R-3m (166).

=====

4.
The following is a PBE-GGA calculation of a relaxed structure of Nd6InIr2, from Alexandria via LeMat-Bulk.

Unit cell a=8.8055 b=8.8055 c=8.8055 alpha=104.26 beta=110.95 gamma=113.34
Fractional coordinates of all 18 atoms:
In  0.0000  0.5000  0.5000
Nd  0.3101  0.6408  0.3306
Nd  0.8902  0.7095  0.1807
Ir  0.3307  0.0000  0.3307
Nd  0.2023  0.2359  0.4382
In  0.0000  0.0000  0.0000
Nd  0.7977  0.7641  0.5618
Nd  0.4712  0.2905  0.1807
Nd  0.3101  0.9795  0.6694
Nd  0.1098  0.2905  0.8193
Nd  0.5288  0.7095  0.8193
Nd  0.7977  0.2359  0.0336
Nd  0.2023  0.7641  0.9664
Ir  0.5000  0.3690  0.8690
Nd  0.6899  0.0205  0.3306
Nd  0.6899  0.3592  0.6694
Ir  0.6693  0.0000  0.6693
Ir  0.5000  0.6310  0.1310

Computed properties:
The calculation puts the density of states at the Fermi level at 0.822 states/eV/atom. As for the energy above the lowest structure with this stoichiometry: 0 meV/atom. As for the formation energy: -0.493 eV per atom. As for the space group: Immm (71).

=====

5.
The following is a PBE-GGA calculation of a relaxed structure of Nd4InIr, from Alexandria via LeMat-Bulk.

Unit cell a=6.1937 b=9.1622 c=8.1942 alpha=114.83 beta=99.91 gamma=111.61
Fractional coordinates of all 12 atoms:
Nd  0.6169  0.0627  0.3483
Nd  0.7425  0.3578  0.1524
Nd  0.7687  0.7144  0.6517
In  0.6278  0.3778  0.7556
Ir  0.7486  0.9986  0.9972
Nd  0.2313  0.2856  0.3483
In  0.3722  0.6222  0.2444
Nd  0.9099  0.7946  0.1524
Nd  0.3831  0.9373  0.6517
Nd  0.2575  0.6422  0.8476
Nd  0.0901  0.2054  0.8476
Ir  0.2514  0.0014  0.0028

Computed properties:
The calculation puts the density of states at the Fermi level at 1.096 states/eV/atom. As for the energy above the lowest structure with this stoichiometry: 71 meV/atom. As for the formation energy: -0.422 eV per atom. As for the space group: C2/c (15).

=====

6.
The following is a PBE-GGA calculation of a relaxed structure of NdIn3Ir, from Alexandria via LeMat-Bulk.

Unit cell a=6.3061 b=8.4149 c=9.1842 alpha=90.00 beta=90.00 gamma=90.00
Fractional coordinates of all 20 atoms:
In  0.6271  0.3125  0.4426
Ir  0.0000  0.5000  0.0000
Ir  0.0000  0.5000  0.5000
In  0.1271  0.1875  0.0574
In  0.3729  0.6875  0.9426
In  0.3729  0.6875  0.5574
In  0.8729  0.8125  0.5574
In  0.8729  0.8125  0.9426
In  0.1271  0.1875  0.4426
In  0.6271  0.3125  0.0574
Nd  0.7418  0.1187  0.7500
In  0.7660  0.0139  0.2500
In  0.2340  0.9861  0.7500
In  0.2660  0.4861  0.2500
Nd  0.2582  0.8813  0.2500
Nd  0.2418  0.3813  0.7500
In  0.7340  0.5139  0.7500
Ir  0.5000  0.0000  0.0000
Ir  0.5000  0.0000  0.5000
Nd  0.7582  0.6187  0.2500

Computed properties:
The calculation puts the density of states at the Fermi level at 0.573 states/eV/atom. As for the formation energy: -0.306 eV per atom. As for the space group: Pnma (62).

=====

7.
The following is a PBE-GGA calculation of a relaxed structure of Nd3In12Ir5, from Alexandria via LeMat-Bulk.

Unit cell a=14.5224 b=14.5224 c=14.5224 alpha=109.47 beta=109.47 gamma=109.47
Fractional coordinates of all 80 atoms:
Ir  0.0000  0.0000  0.5000
Nd  0.7500  0.8750  0.6250
In  0.4283  0.4087  0.6094
In  0.8906  0.8189  0.7993
In  0.1811  0.0717  0.9803
In  0.5913  0.0197  0.2007
Ir  0.7500  0.6250  0.3750
Ir  0.6250  0.8750  0.2500
In  0.6094  0.7007  0.6811
Ir  0.6250  0.7500  0.8750
In  0.7993  0.4803  0.4087
In  0.1811  0.1094  0.7007
Nd  0.2500  0.1250  0.3750
In  0.9803  0.5717  0.1811
Ir  0.1250  0.7500  0.3750
In  0.2007  0.5197  0.5913
Ir  0.0000  0.5000  0.0000
Ir  0.5000  0.5000  0.0000
Ir  0.5000  0.0000  0.0000
In  0.3189  0.5197  0.4283
In  0.5197  0.3189  0.9283
In  0.9087  0.6094  0.9283
In  0.1094  0.9283  0.4087
In  0.4087  0.4283  0.1094
In  0.5197  0.2007  0.0913
Ir  0.8750  0.6250  0.7500
Ir  0.0000  0.0000  0.0000
Nd  0.7500  0.3750  0.1250
In  0.5717  0.9803  0.6811
In  0.6811  0.2007  0.6094
In  0.0197  0.4283  0.8189
Ir  0.3750  0.2500  0.1250
Nd  0.3750  0.7500  0.6250
In  0.8906  0.0717  0.5913
In  0.0197  0.5913  0.7007
In  0.7007  0.0913  0.0197
Nd  0.1250  0.2500  0.8750
In  0.2993  0.3906  0.8189
Nd  0.6250  0.2500  0.3750
Ir  0.1250  0.3750  0.2500
In  0.9087  0.2993  0.4803
Nd  0.6250  0.3750  0.7500
In  0.3906  0.0913  0.5717
In  0.6094  0.9087  0.4283
Ir  0.5000  0.5000  0.5000
In  0.3189  0.7993  0.3906
In  0.4087  0.9803  0.7993
In  0.8189  0.8906  0.2993
In  0.8189  0.9283  0.0197
Nd  0.8750  0.7500  0.1250
Ir  0.5000  0.0000  0.5000
In  0.5913  0.5717  0.8906
In  0.4803  0.6811  0.0717
Ir  0.8750  0.2500  0.6250
Ir  0.2500  0.8750  0.1250
Nd  0.8750  0.1250  0.2500
In  0.0913  0.3906  0.0717
In  0.7993  0.3189  0.8906
Ir  0.0000  0.5000  0.5000
In  0.3906  0.2993  0.3189
In  0.5717  0.5913  0.3906
In  0.2993  0.9087  0.9803
In  0.0913  0.7007  0.5197
In  0.9283  0.8189  0.5197
In  0.4283  0.0197  0.3189
Nd  0.2500  0.6250  0.8750
Nd  0.3750  0.6250  0.2500
Ir  0.3750  0.1250  0.7500
In  0.7007  0.6094  0.1811
In  0.9803  0.4087  0.2993
Ir  0.2500  0.3750  0.6250
Nd  0.1250  0.8750  0.7500
In  0.2007  0.6811  0.1094
In  0.0717  0.8906  0.0913
In  0.9283  0.1094  0.9087
In  0.0717  0.1811  0.4803
In  0.4803  0.7993  0.9087
In  0.1094  0.1811  0.2007
In  0.6811  0.4803  0.5717
Ir  0.7500  0.1250  0.8750

Computed properties:
The calculation puts the density of states at the Fermi level at 0.446 states/eV/atom. As for the formation energy: 0.217 eV per atom. As for the space group: Ia-3d (230).

=====

8.
The following is a PBE-GGA calculation of a relaxed structure of Nd5In2Ir, from Alexandria via LeMat-Bulk.

Unit cell a=7.1851 b=7.1851 c=6.8201 alpha=121.77 beta=121.78 gamma=90.01
Fractional coordinates of all 8 atoms:
Nd  0.2345  0.7344  0.9689
Nd  0.7481  0.7480  0.4962
Nd  0.7344  0.2345  0.9689
Nd  0.2343  0.2343  0.9685
Nd  0.7342  0.7342  0.9685
In  0.7305  0.2306  0.4611
In  0.2305  0.7306  0.4611
Ir  0.1304  0.1304  0.2609

Computed properties:
The calculation puts the density of states at the Fermi level at 0.772 states/eV/atom. As for the energy above the lowest structure with this stoichiometry: 182 meV/atom. As for the formation energy: -0.287 eV per atom. As for the space group: I4mm (107).

=====

9.
The following is a PBE-GGA calculation of a relaxed structure of Nd5In2Ir, from Alexandria via LeMat-Bulk.

Unit cell a=4.8691 b=7.9293 c=12.5451 alpha=90.00 beta=90.00 gamma=90.00
Fractional coordinates of all 16 atoms:
In  0.5000  0.4213  0.8329
Nd  0.5000  0.1832  0.0722
Ir  0.0000  0.0000  0.0000
Nd  0.0000  0.8650  0.2048
Nd  0.5000  0.6832  0.4278
In  0.5000  0.0787  0.3329
Nd  0.0000  0.1350  0.7952
In  0.5000  0.9213  0.6671
Nd  0.0000  0.5000  0.0000
Nd  0.0000  0.0000  0.5000
In  0.5000  0.5787  0.1671
Nd  0.5000  0.8168  0.9278
Nd  0.5000  0.3168  0.5722
Ir  0.0000  0.5000  0.5000
Nd  0.0000  0.6350  0.7048
Nd  0.0000  0.3650  0.2952

Computed properties:
The calculation puts the density of states at the Fermi level at 0.840 states/eV/atom. As for the energy above the lowest structure with this stoichiometry: 0 meV/atom. As for the formation energy: -0.469 eV per atom. As for the space group: Pbam (55).